# 1
# Sc2AgPb, optimized geometry, DFT PBE
data_Sc2AgPb
_chemical_formula_sum 'Sc8 Ag4 Pb4'
_cell_length_a 4.426
_cell_length_b 4.426
_cell_length_c 20.541
_cell_angle_alpha 90.00
_cell_angle_beta 90.00
_cell_angle_gamma 90.00
_space_group_name_H-M_alt 'I -4 2 d'
_space_group_IT_number 122
_space_group_name_Hall 'I -4 2bw'
loop_
_atom_site_label
_atom_site_type_symbol
_atom_site_fract_x
_atom_site_fract_y
_atom_site_fract_z
_atom_site_occupancy
Sc1 Sc 0.245 0.250 0.125 1
Ag1 Ag 0.000 0.000 0.500 1
Pb1 Pb 0.000 0.000 0.000 1
# - Formation energy from the elements: 180 meV/atom

# 2
# TbTm3Mg2, optimized geometry, DFT PBE
data_TbTm3Mg2
_chemical_formula_sum 'Tb1 Tm3 Mg2'
_cell_length_a 3.573
_cell_length_b 3.573
_cell_length_c 13.243
_cell_angle_alpha 90.00
_cell_angle_beta 90.00
_cell_angle_gamma 90.00
_space_group_name_H-M_alt 'P 4/m m m'
_space_group_IT_number 123
_space_group_name_Hall '-P 4 2'
loop_
_atom_site_label
_atom_site_type_symbol
_atom_site_fract_x
_atom_site_fract_y
_atom_site_fract_z
_atom_site_occupancy
Tb1 Tb 0.000 0.000 0.000 1
Tm1 Tm 0.500 0.500 0.185 1
Tm2 Tm 0.500 0.500 0.500 1
Mg1 Mg 0.000 0.000 0.345 1
# - Formation energy from the elements: -31 meV/atom

# 3
# NaSnRh3, optimized geometry, DFT PBE
data_NaSnRh3
_chemical_formula_sum 'Na1 Sn1 Rh3'
_cell_length_a 4.938
_cell_length_b 4.938
_cell_length_c 4.938
_cell_angle_alpha 90.00
_cell_angle_beta 90.00
_cell_angle_gamma 90.00
_space_group_name_H-M_alt 'P m -3 m'
_space_group_IT_number 221
_space_group_name_Hall '-P 4 2 3'
loop_
_atom_site_label
_atom_site_type_symbol
_atom_site_fract_x
_atom_site_fract_y
_atom_site_fract_z
_atom_site_occupancy
Na1 Na 0.000 0.000 0.000 1
Sn1 Sn 0.500 0.500 0.500 1
Rh1 Rh 0.000 0.500 0.500 1
# - Formation energy from the elements: 811 meV/atom

# 4
# PrErNi2, optimized geometry, DFT PBE
data_PrErNi2
_chemical_formula_sum 'Pr3 Er3 Ni6'
_cell_length_a 4.0234
_cell_length_b 4.0234
_cell_length_c 19.0140
_cell_angle_alpha 90.00
_cell_angle_beta 90.00
_cell_angle_gamma 120.00
_space_group_name_H-M_alt 'R -3 m'
_space_group_IT_number 166
_space_group_name_Hall '-R 3 2"'
loop_
_atom_site_label
_atom_site_type_symbol
_atom_site_fract_x
_atom_site_fract_y
_atom_site_fract_z
_atom_site_occupancy
Pr1 Pr 0.0000 0.0000 0.0000 1
Er1 Er 0.0000 0.0000 0.5000 1
Ni1 Ni 0.0000 0.0000 0.2431 1
# - Formation energy from the elements: -187 meV/atom

# 5
# ZrNi2Se, optimized geometry, DFT PBE
data_ZrNi2Se
_chemical_formula_sum 'Zr4 Ni8 Se4'
_cell_length_a 3.798
_cell_length_b 3.798
_cell_length_c 17.916
_cell_angle_alpha 90.00
_cell_angle_beta 90.00
_cell_angle_gamma 90.00
_space_group_name_H-M_alt 'I -4 2 d'
_space_group_IT_number 122
_space_group_name_Hall 'I -4 2bw'
loop_
_atom_site_label
_atom_site_type_symbol
_atom_site_fract_x
_atom_site_fract_y
_atom_site_fract_z
_atom_site_occupancy
Zr1 Zr 0.000 0.000 0.000 1
Ni1 Ni 0.234 0.250 0.625 1
Se1 Se 0.000 0.000 0.500 1
# - Uncorrected formation energy: -0.2211 eV per atom

# 6
# K3Cd3Ag2, optimized geometry, DFT PBE
data_K3Cd3Ag2
_chemical_formula_sum 'K12 Cd12 Ag8'
_cell_length_a 9.316
_cell_length_b 17.256
_cell_length_c 6.595
_cell_angle_alpha 90.00
_cell_angle_beta 90.00
_cell_angle_gamma 90.00
_space_group_name_H-M_alt 'P n m a'
_space_group_IT_number 62
loop_
_space_group_symop_operation_xyz
'x,y,z'
'-x,-y,-z'
'-x+1/2,-y,z+1/2'
'x+1/2,y,-z+1/2'
'x+1/2,-y+1/2,-z+1/2'
'-x+1/2,y+1/2,z+1/2'
'-x,y+1/2,-z'
'x,-y+1/2,z'
loop_
_atom_site_label
_atom_site_type_symbol
_atom_site_fract_x
_atom_site_fract_y
_atom_site_fract_z
_atom_site_occupancy
K1 K 0.039 0.107 0.115 1
K2 K 0.192 0.250 0.601 1
Cd1 Cd 0.158 0.750 0.576 1
Cd2 Cd 0.177 0.039 0.609 1
Ag1 Ag 0.114 0.601 0.387 1
# - Formation energy from the elements: -48 meV/atom

Number 1: calculated density 6.69 g/cm3. Number 2: calculated density 7.02 g/cm3. Number 3: calculated density 6.21 g/cm3. Number 4: calculated density 7.95 g/cm3. Number 5: calculated density 7.39 g/cm3. Number 6: calculated density 4.20 g/cm3.